Record 1
DFT (PBE) results for a relaxed structure of RbAgAu4.

```
RbAgAu4
1.0
5.7079 0.0000 0.0000
2.8540 4.9432 0.0000
2.8540 1.6477 4.6605
Ag Au Rb
1 4 1
Direct
0.0000 0.0000 0.0000
0.1232 0.6256 0.6256
0.6256 0.6256 0.6256
0.6256 0.6256 0.1232
0.6256 0.1232 0.6256
0.2500 0.2500 0.2500
```

The spin magnetization comes out at 0.00 Bohr magnetons per cell. The calculated density comes out at 12.4 g cm⁻³. As for the total energy: -17.34 eV for the cell shown. Its crystal system is cubic. The density of states at the Fermi level is 0.139 states/eV per atom.

Record 2
DFT (PBE) results for a relaxed structure of Na2CoOs2.

```
Na2CoOs2
1.0
9.0571 0.0000 0.0000
0.0000 9.0571 0.0000
0.0000 0.0000 2.4566
Os Na Co
4 4 2
Direct
0.4067 0.0933 0.5000
0.9067 0.4067 0.5000
0.0933 0.5933 0.5000
0.5933 0.9067 0.5000
0.1940 0.3060 0.0000
0.8060 0.6940 0.0000
0.6940 0.1940 0.0000
0.3060 0.8060 0.0000
0.0000 0.0000 0.0000
0.5000 0.5000 0.0000
```

The spin magnetization comes out at 4.55 Bohr magnetons per cell. The calculated density comes out at 8.0 g cm⁻³. As for the total energy: -51.14 eV for the cell shown. Its crystal system is tetragonal. The density of states at the Fermi level is 0.916 states/eV per atom.

Record 3
DFT (PBE) results for a relaxed structure of MnCr2S4.

```
MnCr2S4
1.0
4.6825 0.0000 0.0000
0.0000 4.6825 0.0000
2.3412 2.3412 5.9552
Cr S Mn
2 4 1
Direct
0.6189 0.6189 0.7623
0.3811 0.3811 0.2377
0.8031 0.8031 0.3937
0.0000 0.5000 0.0000
0.5000 0.0000 0.0000
0.1969 0.1969 0.6063
0.0000 0.0000 0.0000
```

The spin magnetization comes out at 10.59 Bohr magnetons per cell. The calculated density comes out at 3.7 g cm⁻³. Its crystal system is tetragonal. As for the formation energy (no corrections): -17 meV/atom. The density of states at the Fermi level is 0.716 states/eV per atom.

Record 4
DFT (PBE) results for a relaxed structure of KY2Al.

```
KY2Al
1.0
5.5886 0.0000 0.0000
2.7943 4.8399 0.0000
2.7943 1.6133 4.5631
Y K Al
2 1 1
Direct
0.0000 0.0000 0.0000
0.2500 0.2500 0.2500
0.7500 0.7500 0.7500
0.5000 0.5000 0.5000
```

The spin magnetization comes out at 0.00 Bohr magnetons per cell. The calculated density comes out at 3.3 g cm⁻³. As for the total energy: -16.01 eV for the cell shown. Its crystal system is cubic. The density of states at the Fermi level is 0.793 states/eV per atom.